[1]
## Mn2Pd2Cl (GGA-PBEsol)

Data for a geometry-optimized Mn2Pd2Cl structure.

Output
Space group = I4/mmm
Raw total energy = -6.3547 eV per atom
V = 14.44 Å³/atom
Uncorrected formation energy = 0.33 eV per atom

Unit cell a=3.1196 b=3.1196 c=14.8425 alpha=90.00 beta=90.00 gamma=90.00
Closest atoms and distances in Å follow each position.
Positions (direct):
1 Mn 0.0000 0.5000 0.2500  4 Mn 2.21
2 Mn 0.0000 0.5000 0.7500  4 Mn 2.21
3 Mn 0.5000 0.0000 0.2500  4 Mn 2.21
4 Mn 0.5000 0.0000 0.7500  4 Mn 2.21
5 Pd 0.0000 0.0000 0.1152  4 Mn 2.54, 4 Cl 2.79
6 Pd 0.0000 0.0000 0.8848  4 Mn 2.54, 4 Cl 2.79
7 Pd 0.5000 0.5000 0.3848  4 Mn 2.54, 4 Cl 2.79
8 Pd 0.5000 0.5000 0.6152  4 Mn 2.54, 4 Cl 2.79
9 Cl 0.0000 0.0000 0.5000  8 Pd 2.79, 4 Cl 3.12
10 Cl 0.5000 0.5000 0.0000  8 Pd 2.79, 4 Cl 3.12

=====

[2]
## FeMoRu2 (GGA-PBEsol)

Data for a geometry-optimized FeMoRu2 structure.

Output
Space group = Pmmm
Raw total energy = -10.1463 eV per atom
V = 13.20 Å³/atom
E above lowest polymorph = 0.0478 eV per atom
Formation energy from the elements = 0.1228 eV/atom

Unit cell a=2.6628 b=3.7017 c=5.3574 alpha=90.00 beta=90.00 gamma=90.00
Closest atoms and distances in Å follow each position.
Positions (direct):
1 Fe 0.0000 0.0000 0.0000  8 Ru 2.60, 2 Fe 2.66, 2 Mo 2.68
2 Mo 0.0000 0.0000 0.5000  2 Mo 2.66, 2 Fe 2.68, 8 Ru 2.69
3 Ru 0.5000 0.5000 0.2346  3 Ru 2.51-2.66, 4 Fe 2.60, 4 Mo 2.69
4 Ru 0.5000 0.5000 0.7654  3 Ru 2.51-2.66, 4 Fe 2.60, 4 Mo 2.69

=====

[3]
## CaHgIN2 (GGA-PBEsol)

Data for a geometry-optimized CaHgIN2 structure.

Output
Space group = P4/mmm
Raw total energy = -3.2255 eV per atom
V = 27.32 Å³/atom
Uncorrected formation energy = 1.08 eV per atom
E above lowest polymorph = 0.0000 eV per atom

Unit cell a=4.6679 b=4.6679 c=6.2693 alpha=90.00 beta=90.00 gamma=90.00
Closest atoms and distances in Å follow each position.
Positions (direct):
1 Ca 0.0000 0.0000 0.0000  4 N 2.33
2 Hg 0.5000 0.5000 0.5000  4 I 3.30
3 I 0.0000 0.0000 0.5000  2 Ca 3.13, 4 Hg 3.30
4 N 0.0000 0.5000 0.0000  2 Ca 2.33
5 N 0.5000 0.0000 0.0000  2 Ca 2.33